[1]
## Mg3BeNi (GGA-PBE)

Data for crystalline Mg3BeNi at its relaxed geometry.

**Energy**: -11.6 eV per cell
**M_tot**: 0.000 μB per atom

Unit cell a=4.7394 b=4.7394 c=4.7394 alpha=90.00 beta=90.00 gamma=90.00
Atoms (fractional coordinates):
Ni (0.0000, 0.0000, 0.0000)
Mg (0.0000, 0.5000, 0.0000)
Mg (0.0000, 0.0000, 0.5000)
Mg (0.5000, 0.0000, 0.0000)
Be (0.5000, 0.5000, 0.5000)

[2]
## MgBe4Ni (GGA-PBE)

Data for crystalline MgBe4Ni at its relaxed geometry.

**Energy**: -23.4 eV per cell
**M_tot**: 0.000 μB per atom

Unit cell a=4.3478 b=4.3478 c=4.3478 alpha=60.00 beta=60.00 gamma=60.00
Atoms (fractional coordinates):
Mg (0.2500, 0.2500, 0.2500)
Be (0.6266, 0.6266, 0.1202)
Be (0.6266, 0.1202, 0.6266)
Be (0.6266, 0.6266, 0.6266)
Be (0.1202, 0.6266, 0.6266)
Ni (0.0000, 0.0000, 0.0000)

[3]
## MgBe2Ni (GGA-PBE)

Data for crystalline MgBe2Ni at its relaxed geometry.

**Energy**: -14.5 eV per cell
**M_tot**: 0.000 μB per atom

Unit cell a=3.9949 b=3.9949 c=3.9949 alpha=60.00 beta=60.00 gamma=60.00
Atoms (fractional coordinates):
Ni (0.7500, 0.7500, 0.7500)
Mg (0.5000, 0.5000, 0.5000)
Be (0.0000, 0.0000, 0.0000)
Be (0.2500, 0.2500, 0.2500)

[4]
## MgBe2Ni3 (GGA-PBE)

Data for crystalline MgBe2Ni3 at its relaxed geometry.

**Energy**: -28.5 eV per cell
**M_tot**: 0.000 μB per atom

Unit cell a=2.6431 b=2.6431 c=9.0415 alpha=90.00 beta=90.00 gamma=90.00
Atoms (fractional coordinates):
Mg (0.5000, 0.5000, 0.5000)
Be (0.5000, 0.5000, 0.8536)
Be (0.5000, 0.5000, 0.1464)
Ni (0.0000, 0.0000, 0.0000)
Ni (0.0000, 0.0000, 0.7135)
Ni (0.0000, 0.0000, 0.2865)

[5]
## MgBeNi2 (GGA-PBE)

Data for crystalline MgBeNi2 at its relaxed geometry.

**Energy**: -17.1 eV per cell
**M_tot**: 0.000 μB per atom

Unit cell a=4.4756 b=4.4756 c=4.4756 alpha=133.35 beta=133.35 gamma=68.11
Atoms (fractional coordinates):
Ni (0.0000, 0.0000, 0.0000)
Ni (0.2500, 0.7500, 0.5000)
Mg (0.7500, 0.2500, 0.5000)
Be (0.5000, 0.5000, 0.0000)

[6]
## MgBe2Ni (GGA-PBE)

Data for crystalline MgBe2Ni at its relaxed geometry.

**Energy**: -14.8 eV per cell
**M_tot**: 0.000 μB per atom

Unit cell a=3.6253 b=2.6539 c=4.9650 alpha=74.82 beta=90.00 gamma=90.00
Atoms (fractional coordinates):
Ni (0.5000, 0.7720, 0.8274)
Mg (0.0000, 0.4506, 0.4800)
Be (0.0000, 0.1918, 0.9845)
Be (0.5000, 0.0856, 0.2081)

[7]
## MgBeNi3 (GGA-PBE)

Data for crystalline MgBeNi3 at its relaxed geometry.

**Energy**: -22.6 eV per cell
**M_tot**: 0.000 μB per atom

Unit cell a=3.9409 b=3.9409 c=3.9409 alpha=90.00 beta=90.00 gamma=90.00
Atoms (fractional coordinates):
Ni (0.0000, 0.5000, 0.0000)
Ni (0.0000, 0.0000, 0.5000)
Ni (0.5000, 0.0000, 0.0000)
Mg (0.5000, 0.5000, 0.5000)
Be (0.0000, 0.0000, 0.0000)

[8]
## MgBe2Ni (GGA-PBE)

Data for crystalline MgBe2Ni at its relaxed geometry.

**Energy**: -15.0 eV per cell
**M_tot**: 0.000 μB per atom

Unit cell a=2.7625 b=2.7639 c=5.9622 alpha=90.00 beta=90.00 gamma=90.00
Atoms (fractional coordinates):
Ni (0.5000, 0.5000, 0.8098)
Mg (0.0000, 0.0000, 0.5044)
Be (0.0000, 0.0000, 0.9989)
Be (0.5000, 0.5000, 0.1869)

[9]
## MgBeNi2 (GGA-PBE)

Data for crystalline MgBeNi2 at its relaxed geometry.

**Energy**: -17.0 eV per cell
**M_tot**: 0.001 μB per atom

Unit cell a=7.4815 b=7.4815 c=7.4815 alpha=21.14 beta=21.14 gamma=21.14
Atoms (fractional coordinates):
Ni (0.9864, 0.9864, 0.9864)
Ni (0.5136, 0.5136, 0.5136)
Mg (0.7500, 0.7500, 0.7500)
Be (0.2500, 0.2500, 0.2500)

[10]
## MgBe2Ni (GGA-PBE)

Data for crystalline MgBe2Ni at its relaxed geometry.

**Energy**: -14.6 eV per cell
**M_tot**: 0.000 μB per atom

Unit cell a=3.7094 b=3.7094 c=3.2646 alpha=90.00 beta=90.00 gamma=90.00
Atoms (fractional coordinates):
Ni (0.0000, 0.5000, 0.5000)
Mg (0.5000, 0.0000, 0.5000)
Be (0.0000, 0.0000, 0.0000)
Be (0.5000, 0.5000, 0.0000)

[11]
## MgBeNi3 (GGA-PBE)

Data for crystalline MgBeNi3 at its relaxed geometry.

**Energy**: -16.0 eV per cell
**M_tot**: 0.000 μB per atom

Unit cell a=4.2603 b=4.2603 c=4.2603 alpha=90.00 beta=90.00 gamma=90.00
Atoms (fractional coordinates):
Ni (0.0000, 0.5000, 0.0000)
Ni (0.0000, 0.0000, 0.5000)
Ni (0.5000, 0.0000, 0.0000)
Mg (0.0000, 0.0000, 0.0000)
Be (0.5000, 0.5000, 0.5000)

[12]
## MgBe2Ni (GGA-PBE)

Data for crystalline MgBe2Ni at its relaxed geometry.

**Energy**: -14.6 eV per cell
**M_tot**: 0.000 μB per atom

Unit cell a=4.4763 b=4.4763 c=4.4763 alpha=134.41 beta=134.41 gamma=66.45
Atoms (fractional coordinates):
Ni (0.7500, 0.2500, 0.5000)
Mg (0.5000, 0.5000, 0.0000)
Be (0.0000, 0.0000, 0.0000)
Be (0.2500, 0.7500, 0.5000)

[13]
## MgBe2Ni (GGA-PBE)

Data for crystalline MgBe2Ni at its relaxed geometry.

**Energy**: -14.2 eV per cell
**M_tot**: 0.000 μB per atom

Unit cell a=4.6263 b=4.6263 c=2.5230 alpha=79.66 beta=79.66 gamma=116.29
Atoms (fractional coordinates):
Ni (0.0000, 0.5000, 0.5000)
Mg (0.5000, 0.0000, 0.5000)
Be (0.0000, 0.0000, 0.0000)
Be (0.5000, 0.5000, 0.0000)

[14]
## MgBe2Ni (GGA-PBE)

Data for crystalline MgBe2Ni at its relaxed geometry.

**Energy**: -13.9 eV per cell
**M_tot**: 0.000 μB per atom

Unit cell a=8.1280 b=8.1280 c=8.1280 alpha=18.78 beta=18.78 gamma=18.78
Atoms (fractional coordinates):
Ni (0.7500, 0.7500, 0.7500)
Mg (0.2500, 0.2500, 0.2500)
Be (0.0140, 0.0140, 0.0140)
Be (0.4860, 0.4860, 0.4860)

[15]
## MgBe2Ni2 (GGA-PBE)

Data for crystalline MgBe2Ni2 at its relaxed geometry.

**Energy**: -44.1 eV per cell
**M_tot**: 0.000 μB per atom

Unit cell a=6.4247 b=6.4247 c=2.5963 alpha=90.00 beta=90.00 gamma=90.00
Atoms (fractional coordinates):
Ni (0.1674, 0.6674, 0.5000)
Ni (0.6674, 0.8326, 0.5000)
Ni (0.8326, 0.3326, 0.5000)
Ni (0.3326, 0.1674, 0.5000)
Mg (0.0000, 0.0000, 0.0000)
Mg (0.5000, 0.5000, 0.0000)
Be (0.3780, 0.8780, 0.0000)
Be (0.8780, 0.6220, 0.0000)
Be (0.6220, 0.1220, 0.0000)
Be (0.1220, 0.3780, 0.0000)

[16]
## MgBeNi2 (GGA-PBE)

Data for crystalline MgBeNi2 at its relaxed geometry.

**Energy**: -17.5 eV per cell
**M_tot**: 0.000 μB per atom

Unit cell a=6.2521 b=3.8147 c=3.1460 alpha=90.03 beta=59.74 gamma=127.71
Atoms (fractional coordinates):
Ni (0.0000, 0.0000, 0.0000)
Ni (0.5000, 0.0000, 0.5000)
Mg (0.5000, 0.5000, 0.0000)
Be (0.0000, 0.5000, 0.5000)

[17]
## MgBe2Ni (GGA-PBE)

Data for crystalline MgBe2Ni at its relaxed geometry.

**Energy**: -15.2 eV per cell
**M_tot**: 0.000 μB per atom

Unit cell a=2.8324 b=2.8111 c=6.4005 alpha=64.19 beta=90.00 gamma=90.00
Atoms (fractional coordinates):
Ni (0.5000, 0.7500, 0.7500)
Mg (0.5000, 0.2500, 0.2500)
Be (0.0000, 0.0627, 0.9373)
Be (0.0000, 0.4373, 0.5627)

[18]
## MgBe2Ni (GGA-PBE)

Data for crystalline MgBe2Ni at its relaxed geometry.

**Energy**: -27.2 eV per cell
**M_tot**: 0.000 μB per atom

Unit cell a=3.9843 b=3.9843 c=7.9357 alpha=75.46 beta=75.46 gamma=90.00
Atoms (fractional coordinates):
Ni (0.0000, 0.0000, 0.0000)
Ni (0.7500, 0.2500, 0.5000)
Mg (0.5000, 0.5000, 0.0000)
Mg (0.2500, 0.7500, 0.5000)
Be (0.8751, 0.1250, 0.2500)
Be (0.8749, 0.6250, 0.2500)
Be (0.3750, 0.1249, 0.7500)
Be (0.8750, 0.1251, 0.7500)

[19]
## Mg2Be15Ni2 (GGA-PBE)

Data for crystalline Mg2Be15Ni2 at its relaxed geometry.

**Energy**: -72.4 eV per cell
**M_tot**: 0.000 μB per atom

Unit cell a=5.7045 b=5.7045 c=5.7045 alpha=82.67 beta=82.67 gamma=82.67
Atoms (fractional coordinates):
Mg (0.3410, 0.3410, 0.3410)
Mg (0.6590, 0.6590, 0.6590)
Be (0.5000, 0.0000, 0.0000)
Be (0.0000, 0.0000, 0.5000)
Be (0.0000, 0.5000, 0.0000)
Be (0.0000, 0.7100, 0.2900)
Be (0.7100, 0.2900, 0.0000)
Be (0.2900, 0.0000, 0.7100)
Be (0.2900, 0.7100, 0.0000)
Be (0.7100, 0.0000, 0.2900)
Be (0.0000, 0.2900, 0.7100)
Be (0.1543, 0.6621, 0.6621)
Be (0.6621, 0.6621, 0.1543)
Be (0.6621, 0.1543, 0.6621)
Be (0.8457, 0.3379, 0.3379)
Be (0.3379, 0.3379, 0.8457)
Be (0.3379, 0.8457, 0.3379)
Ni (0.1036, 0.1036, 0.1036)
Ni (0.8964, 0.8964, 0.8964)

[20]
## MgBe2Ni (GGA-PBE)

Data for crystalline MgBe2Ni at its relaxed geometry.

**Energy**: -14.7 eV per cell
**M_tot**: 0.000 μB per atom

Unit cell a=4.6302 b=4.6302 c=4.0124 alpha=64.67 beta=64.67 gamma=35.59
Atoms (fractional coordinates):
Ni (0.2754, 0.2754, 0.2232)
Mg (0.5011, 0.5011, 0.4995)
Be (0.9991, 0.9991, 0.0018)
Be (0.7243, 0.7243, 0.7756)

So what do the calculations give for formation energy from the elements? Going down the list: 0.534; -0.188; 0.075; -0.344; -0.061; 0.011; 0.006; -0.050; -0.017; 0.057; 1.337; 0.058; 0.165; 0.229; -0.286; -0.142; -0.092; 0.312; -0.091; 0.023 eV/atom.